(1)
DFT (GGA-PBE) results for a relaxed structure of TlNiSb2.

a = 4.472 Å, b = 4.472 Å, c = 4.725 Å
α = 90.00°, β = 90.00°, γ = 90.00°
Space group P4/mmm (No. 123)
Inequivalent atoms, fractional coordinates:
Tl: 0.000 0.000 0.000 (multiplicity 1)
Ni: 0.500 0.500 0.000 (multiplicity 1)
Sb: 0.000 0.500 0.500 (multiplicity 2)

Results
Energy relative to the elements, uncorrected, meV per atom: 420
Relative energy among the computed polymorphs, eV/atom: 0.540
Calculated volume, Å³/cell: 95



(2)
DFT (GGA-PBE) results for a relaxed structure of TlNiSb2.

a = 6.061 Å, b = 6.061 Å, c = 13.192 Å
α = 90.00°, β = 90.00°, γ = 90.00°
Space group I-42d (No. 122)
Inequivalent atoms, fractional coordinates:
Tl: 0.000 0.000 0.000 (multiplicity 4)
Ni: 0.000 0.000 0.500 (multiplicity 4)
Sb: 0.163 0.250 0.625 (multiplicity 8)

Results
Energy relative to the elements, uncorrected, meV per atom: 127
Relative energy among the computed polymorphs, eV/atom: 0.247
Calculated volume, Å³/cell: 485



(3)
DFT (GGA-PBE) results for a relaxed structure of TlNi2Sb2.

a = 7.873 Å, b = 7.873 Å, c = 3.245 Å
α = 90.00°, β = 90.00°, γ = 90.00°
Space group P4/mbm (No. 127)
Inequivalent atoms, fractional coordinates:
Tl: 0.000 0.000 0.000 (multiplicity 2)
Ni: 0.118 0.382 0.000 (multiplicity 4)
Sb: 0.153 0.653 0.500 (multiplicity 4)

Results
Energy relative to the elements, uncorrected, meV per atom: 109
Calculated volume, Å³/cell: 201



(4)
DFT (GGA-PBE) results for a relaxed structure of TlNiSb.

a = 6.418 Å, b = 6.418 Å, c = 6.418 Å
α = 90.00°, β = 90.00°, γ = 90.00°
Space group F-43m (No. 216)
Inequivalent atoms, fractional coordinates:
Tl: 0.000 0.000 0.000 (multiplicity 4)
Ni: 0.250 0.250 0.250 (multiplicity 4)
Sb: 0.000 0.000 0.500 (multiplicity 4)

Results
Energy relative to the elements, uncorrected, meV per atom: 64
Calculated volume, Å³/cell: 264



Q: The highest calculated volume belongs to which entry?
A: number 2